No. 1
{
  "formula": "NiMo2As",
  "functional": "PBE",
  "state": "relaxed",
  "lattice_angstrom": [[-3.549, -1.527, -3.068], [1.578, -0.901, -4.587], [0.857, -1.340, 4.671]],
  "species": ["As", "Mo", "Mo", "Ni"],
  "frac_coords": [[0.250, 0.750, 0.500], [0.011, 0.011, 0.000], [0.489, 0.489, 0.000], [0.750, 0.250, 0.500]],
  "dos_at_fermi_per_ev_fu": 4.13,
  "formation_energy_mev_per_atom": 88,
  "total_energy_ev_per_cell": -31.7
}

***

No. 2
{
  "formula": "Ni2MoAs",
  "functional": "PBE",
  "state": "relaxed",
  "lattice_angstrom": [[-1.187, -4.661, -0.633], [-0.345, -0.277, 2.690], [-7.824, 2.241, -0.772]],
  "species": ["Ni", "Ni", "Ni", "Ni", "Mo", "Mo", "As", "As"],
  "frac_coords": [[0.905, 0.000, 0.137], [0.905, 0.500, 0.637], [0.156, 0.000, 0.416], [0.156, 0.500, 0.916], [0.682, 0.000, 0.865], [0.682, 0.500, 0.365], [0.389, 0.000, 0.138], [0.389, 0.500, 0.638]],
  "dos_at_fermi_per_ev_fu": 2.04,
  "formation_energy_mev_per_atom": 10,
  "total_energy_ev_per_cell": -54.0
}

***

No. 3
{
  "formula": "Ni2MoAs",
  "functional": "PBE",
  "state": "relaxed",
  "lattice_angstrom": [[-2.459, -0.567, 0.909], [3.049, -0.930, 7.668], [-0.768, 4.660, 0.871]],
  "species": ["Ni", "Ni", "Ni", "Ni", "Mo", "Mo", "As", "As"],
  "frac_coords": [[0.000, 0.250, 0.250], [0.000, 0.250, 0.750], [0.000, 0.750, 0.750], [0.000, 0.750, 0.250], [0.500, 0.500, 0.500], [0.500, 0.000, 0.000], [0.000, 0.500, 0.000], [0.000, 0.000, 0.500]],
  "dos_at_fermi_per_ev_fu": 3.86,
  "formation_energy_mev_per_atom": 22,
  "total_energy_ev_per_cell": -53.9
}

***

No. 4
{
  "formula": "Ni2MoAs",
  "functional": "PBE",
  "state": "relaxed",
  "lattice_angstrom": [[3.583, 0.000, 0.000], [0.000, 2.758, 0.000], [0.000, 0.000, 10.875]],
  "species": ["Ni", "Ni", "Ni", "Ni", "Mo", "Mo", "As", "As"],
  "frac_coords": [[0.000, 0.000, 0.538], [0.000, 0.500, 0.038], [0.500, 0.000, 0.168], [0.500, 0.500, 0.668], [0.000, 0.000, 0.788], [0.000, 0.500, 0.288], [0.500, 0.000, 0.954], [0.500, 0.500, 0.454]],
  "dos_at_fermi_per_ev_fu": 2.21,
  "formation_energy_mev_per_atom": -16,
  "total_energy_ev_per_cell": -54.2
}

***

No. 5
{
  "formula": "NiMoAs",
  "functional": "PBE",
  "state": "relaxed",
  "lattice_angstrom": [[4.049, 0.000, 0.000], [2.024, 3.506, 0.000], [2.024, 1.169, 3.306]],
  "species": ["As", "Mo", "Ni"],
  "frac_coords": [[0.750, 0.750, 0.750], [0.000, 0.000, 0.000], [0.500, 0.500, 0.500]],
  "dos_at_fermi_per_ev_fu": 1.81,
  "formation_energy_mev_per_atom": 72,
  "total_energy_ev_per_cell": -21.0
}

***

No. 6
{
  "formula": "NiMo2As",
  "functional": "PBE",
  "state": "relaxed",
  "lattice_angstrom": [[2.794, -0.011, 0.000], [-0.798, 2.678, 0.000], [0.000, 0.000, 7.973]],
  "species": ["As", "Mo", "Mo", "Ni"],
  "frac_coords": [[0.500, 0.500, 0.732], [0.000, 0.000, 0.998], [0.500, 0.500, 0.263], [0.000, 0.000, 0.507]],
  "dos_at_fermi_per_ev_fu": 3.35,
  "formation_energy_mev_per_atom": 158,
  "total_energy_ev_per_cell": -31.5
}

***

No. 7
{
  "formula": "NiMo2As",
  "functional": "PBE",
  "state": "relaxed",
  "lattice_angstrom": [[4.357, 0.841, 0.000], [-0.837, 4.357, 0.000], [0.000, 0.000, 2.895]],
  "species": ["As", "Mo", "Mo", "Ni"],
  "frac_coords": [[0.000, 0.500, 0.500], [0.000, 0.000, 0.000], [0.500, 0.500, 0.000], [0.500, 0.000, 0.500]],
  "dos_at_fermi_per_ev_fu": 3.23,
  "formation_energy_mev_per_atom": 52,
  "total_energy_ev_per_cell": -31.9
}

***

No. 8
{
  "formula": "NiMo2As",
  "functional": "PBE",
  "state": "relaxed",
  "lattice_angstrom": [[-1.630, -1.593, 4.172], [-2.763, -3.402, 1.842], [2.772, -3.078, 1.043]],
  "species": ["As", "Mo", "Mo", "Ni"],
  "frac_coords": [[0.750, 0.750, 0.750], [0.999, 0.999, 0.012], [0.501, 0.501, 0.488], [0.250, 0.250, 0.250]],
  "dos_at_fermi_per_ev_fu": 2.47,
  "formation_energy_mev_per_atom": 100,
  "total_energy_ev_per_cell": -31.7
}